Version P
# ZnTe2Br

A PBEsol-optimized structure of ZnTe2Br (meta-GGA SCAN, the Alexandria database).

Space-group type: I-42d

```
data_ZnTe2Br
_symmetry_space_group_name_H-M 'P 1'
_symmetry_Int_Tables_number 1
_symmetry_space_group_name_Hall 'P 1'
_cell_length_a 5.364
_cell_length_b 5.364
_cell_length_c 9.612
_cell_angle_alpha 106.20
_cell_angle_beta 106.20
_cell_angle_gamma 90.00
loop_
_atom_site_label
_atom_site_fract_x
_atom_site_fract_y
_atom_site_fract_z
Zn1 0.750 0.250 0.500
Zn2 0.500 0.500 0.000
Te1 0.758 0.375 0.250
Te2 0.492 0.875 0.250
Te3 0.625 0.508 0.750
Te4 0.125 0.242 0.750
Br1 0.250 0.750 0.500
Br2 0.000 0.000 0.000
```

---

Version Q
# ZnTe2Br

A PBEsol-optimized structure of ZnTe2Br (meta-GGA SCAN, the Alexandria database).

Space-group type: R-3m

```
data_ZnTe2Br
_symmetry_space_group_name_H-M 'P 1'
_symmetry_Int_Tables_number 1
_symmetry_space_group_name_Hall 'P 1'
_cell_length_a 3.318
_cell_length_b 3.318
_cell_length_c 10.886
_cell_angle_alpha 81.23
_cell_angle_beta 81.23
_cell_angle_gamma 60.00
loop_
_atom_site_label
_atom_site_fract_x
_atom_site_fract_y
_atom_site_fract_z
Zn1 0.000 0.000 0.000
Te1 0.921 0.921 0.238
Te2 0.079 0.079 0.762
Br1 0.500 0.500 0.500
```

---

version P wins, 11.0 kJ/mol of atoms ahead of the next structure.

---

Version P
# Y2TlBr

A PBEsol-optimized structure of Y2TlBr (meta-GGA SCAN, the Alexandria database).

Space-group type: Imm2

```
data_Y2TlBr
_symmetry_space_group_name_H-M 'P 1'
_symmetry_Int_Tables_number 1
_symmetry_space_group_name_Hall 'P 1'
_cell_length_a 3.568
_cell_length_b 4.503
_cell_length_c 7.333
_cell_angle_alpha 107.88
_cell_angle_beta 104.08
_cell_angle_gamma 90.00
loop_
_atom_site_label
_atom_site_fract_x
_atom_site_fract_y
_atom_site_fract_z
Y1 0.047 0.547 0.095
Y2 0.787 0.787 0.574
Tl1 0.205 0.205 0.409
Br1 0.461 0.961 0.922
```

---

Version Q
# Y2TlBr

A PBEsol-optimized structure of Y2TlBr (meta-GGA SCAN, the Alexandria database).

Space-group type: Cmmm

```
data_Y2TlBr
_symmetry_space_group_name_H-M 'P 1'
_symmetry_Int_Tables_number 1
_symmetry_space_group_name_Hall 'P 1'
_cell_length_a 3.527
_cell_length_b 3.527
_cell_length_c 9.448
_cell_angle_alpha 90.00
_cell_angle_beta 90.00
_cell_angle_gamma 114.85
loop_
_atom_site_label
_atom_site_fract_x
_atom_site_fract_y
_atom_site_fract_z
Y1 0.000 0.000 0.256
Y2 0.000 0.000 0.744
Tl1 0.500 0.500 0.000
Br1 0.500 0.500 0.500
```

---

version P wins, 8.2 kJ/mol of atoms ahead of the next structure.

---

Version P
# YTlBr2

A PBEsol-optimized structure of YTlBr2 (meta-GGA SCAN, the Alexandria database).

Space-group type: Amm2

```
data_YTlBr2
_symmetry_space_group_name_H-M 'P 1'
_symmetry_Int_Tables_number 1
_symmetry_space_group_name_Hall 'P 1'
_cell_length_a 3.943
_cell_length_b 5.319
_cell_length_c 5.611
_cell_angle_alpha 90.00
_cell_angle_beta 110.57
_cell_angle_gamma 90.00
loop_
_atom_site_label
_atom_site_fract_x
_atom_site_fract_y
_atom_site_fract_z
Y1 0.307 0.500 0.613
Tl1 0.905 0.000 0.811
Br1 0.195 0.000 0.391
Br2 0.596 0.500 0.191
```

---

Version Q
# YTlBr2

A PBEsol-optimized structure of YTlBr2 (meta-GGA SCAN, the Alexandria database).

Space-group type: Cm

```
data_YTlBr2
_symmetry_space_group_name_H-M 'P 1'
_symmetry_Int_Tables_number 1
_symmetry_space_group_name_Hall 'P 1'
_cell_length_a 3.692
_cell_length_b 5.853
_cell_length_c 6.507
_cell_angle_alpha 117.12
_cell_angle_beta 90.00
_cell_angle_gamma 108.39
loop_
_atom_site_label
_atom_site_fract_x
_atom_site_fract_y
_atom_site_fract_z
Y1 0.274 0.549 0.942
Tl1 0.551 0.101 0.473
Br1 0.935 0.871 0.855
Br2 0.739 0.479 0.230
```

---

Version R
# YTlBr2

A PBEsol-optimized structure of YTlBr2 (meta-GGA SCAN, the Alexandria database).

Space-group type: Cmm2

```
data_YTlBr2
_symmetry_space_group_name_H-M 'P 1'
_symmetry_Int_Tables_number 1
_symmetry_space_group_name_Hall 'P 1'
_cell_length_a 3.730
_cell_length_b 3.730
_cell_length_c 9.570
_cell_angle_alpha 90.00
_cell_angle_beta 90.00
_cell_angle_gamma 115.93
loop_
_atom_site_label
_atom_site_fract_x
_atom_site_fract_y
_atom_site_fract_z
Y1 0.500 0.500 0.250
Tl1 0.000 0.000 0.499
Br1 0.000 0.000 0.045
Br2 0.500 0.500 0.705
```

---

Version S
# YTlBr2

A PBEsol-optimized structure of YTlBr2 (meta-GGA SCAN, the Alexandria database).

Space-group type: R3m

```
data_YTlBr2
_symmetry_space_group_name_H-M 'P 1'
_symmetry_Int_Tables_number 1
_symmetry_space_group_name_Hall 'P 1'
_cell_length_a 3.747
_cell_length_b 3.747
_cell_length_c 9.648
_cell_angle_alpha 78.80
_cell_angle_beta 78.80
_cell_angle_gamma 60.00
loop_
_atom_site_label
_atom_site_fract_x
_atom_site_fract_y
_atom_site_fract_z
Y1 0.253 0.253 0.242
Tl1 0.500 0.500 0.499
Br1 0.984 0.984 0.047
Br2 0.763 0.763 0.712
```

---

version Q wins, 6.5 kJ/mol of atoms ahead of the next structure.